Record 1
# BeRe2Mo PBE optimized geometry
data_BeRe2Mo
_chemical_formula_sum 'Be2 Re4 Mo2'
_symmetry_space_group_name_H-M 'C m m m'
_symmetry_Int_Tables_number 65
_symmetry_space_group_name_Hall '-C 2 2'
_cell_length_a 3.074
_cell_length_b 4.378
_cell_length_c 8.257
_cell_angle_alpha 90.00
_cell_angle_beta 90.00
_cell_angle_gamma 90.00
loop_
_atom_site_label
_atom_site_fract_x
_atom_site_fract_y
_atom_site_fract_z
Be1 0.000 0.000 0.000
Re1 0.000 0.500 0.228
Mo1 0.000 0.000 0.500
# Energy = -9.741 eV/atom
# DOS(E_F) = 4.99 states/eV/cell
# Total moment = 0.00 μB/atom

***

Record 2
# Re2MoRh PBE optimized geometry
data_Re2MoRh
_chemical_formula_sum 'Re2 Mo1 Rh1'
_symmetry_space_group_name_H-M 'P m m m'
_symmetry_Int_Tables_number 47
_cell_length_a 2.749
_cell_length_b 3.929
_cell_length_c 5.565
_cell_angle_alpha 90.00
_cell_angle_beta 90.00
_cell_angle_gamma 90.00
loop_
_symmetry_equiv_pos_as_xyz
'x,y,z'
'-x,-y,-z'
'-x,-y,z'
'x,y,-z'
'x,-y,-z'
'-x,y,z'
'-x,y,-z'
'x,-y,z'
loop_
_atom_site_label
_atom_site_fract_x
_atom_site_fract_y
_atom_site_fract_z
Re1 0.000 0.000 0.247
Mo1 0.500 0.500 0.500
Rh1 0.500 0.500 0.000
# Energy = -10.689 eV/atom
# Distance to the lowest polymorph of the same formula = 0.1191 eV per atom
# DOS(E_F) = 4.95 states/eV/cell
# Total moment = 0.00 μB/atom

***

Record 3
# NbHgS2 PBE optimized geometry
data_NbHgS2
_chemical_formula_sum 'Nb4 Hg4 S8'
_symmetry_space_group_name_H-M 'P n a 21'
_symmetry_Int_Tables_number 33
_cell_length_a 6.917
_cell_length_b 9.921
_cell_length_c 7.029
_cell_angle_alpha 90.00
_cell_angle_beta 90.00
_cell_angle_gamma 90.00
loop_
_symmetry_equiv_pos_as_xyz
'x,y,z'
'-x,-y,z+1/2'
'-x+1/2,y+1/2,z+1/2'
'x+1/2,-y+1/2,z'
loop_
_atom_site_label
_atom_site_fract_x
_atom_site_fract_y
_atom_site_fract_z
Nb1 0.034 0.109 0.000
Hg1 0.073 0.462 0.440
S1 0.020 0.093 0.671
S2 0.250 0.276 0.088
# Energy = -5.067 eV/atom
# Formation energy (no corrections) = -0.410 eV per atom
# DOS(E_F) = 10.28 states/eV/cell
# Total moment = 0.00 μB/atom

***

Record 4
# Cs3NaTl PBE optimized geometry
data_Cs3NaTl
_chemical_formula_sum 'Cs3 Na1 Tl1'
_symmetry_space_group_name_H-M 'P m -3 m'
_symmetry_Int_Tables_number 221
_symmetry_space_group_name_Hall '-P 4 2 3'
_cell_length_a 7.476
_cell_length_b 7.476
_cell_length_c 7.476
_cell_angle_alpha 90.00
_cell_angle_beta 90.00
_cell_angle_gamma 90.00
loop_
_atom_site_label
_atom_site_fract_x
_atom_site_fract_y
_atom_site_fract_z
Cs1 0.000 0.000 0.500
Na1 0.500 0.500 0.500
Tl1 0.000 0.000 0.000
# Energy = -1.144 eV/atom
# Distance to the lowest polymorph of the same formula = 0.1248 eV per atom
# DOS(E_F) = 5.18 states/eV/cell
# Total moment = 0.00 μB/atom

***

Record 5
# CaCd2Pb2 PBE optimized geometry
data_CaCd2Pb2
_chemical_formula_sum 'Ca2 Cd4 Pb4'
_symmetry_space_group_name_H-M 'P 4/m b m'
_symmetry_Int_Tables_number 127
_symmetry_space_group_name_Hall '-P 4 2ab'
_cell_length_a 8.554
_cell_length_b 8.554
_cell_length_c 3.999
_cell_angle_alpha 90.00
_cell_angle_beta 90.00
_cell_angle_gamma 90.00
loop_
_atom_site_label
_atom_site_fract_x
_atom_site_fract_y
_atom_site_fract_z
Ca1 0.000 0.000 0.000
Cd1 0.156 0.344 0.500
Pb1 0.140 0.640 0.000
# Energy = -2.339 eV/atom
# DOS(E_F) = 6.43 states/eV/cell
# Total moment = 0.00 μB/atom

***

Record 6
# CsZrCu2Te4 PBE optimized geometry
data_CsZrCu2Te4
_chemical_formula_sum 'Cs2 Zr2 Cu4 Te8'
_symmetry_space_group_name_H-M 'I 2 2 2'
_symmetry_Int_Tables_number 23
_cell_length_a 6.394
_cell_length_b 10.030
_cell_length_c 10.095
_cell_angle_alpha 90.00
_cell_angle_beta 90.00
_cell_angle_gamma 90.00
loop_
_symmetry_equiv_pos_as_xyz
'x,y,z'
'-x,-y,z'
'x,-y,-z'
'-x,y,-z'
'x+1/2,y+1/2,z+1/2'
'-x+1/2,-y+1/2,z+1/2'
'x+1/2,-y+1/2,-z+1/2'
'-x+1/2,y+1/2,-z+1/2'
loop_
_atom_site_label
_atom_site_fract_x
_atom_site_fract_y
_atom_site_fract_z
Cs1 0.000 0.000 0.000
Zr1 0.000 0.000 0.500
Cu1 0.000 0.500 0.119
Te1 0.232 0.173 0.344
# Energy = -4.185 eV/atom
# Formation energy (no corrections) = -0.415 eV per atom
# DOS(E_F) = 13.18 states/eV/cell
# Total moment = 0.00 μB/atom

***

Record 7
# VFeSi PBE optimized geometry
data_VFeSi
_chemical_formula_sum 'V4 Fe4 Si4'
_symmetry_space_group_name_H-M 'C 1 m 1'
_symmetry_Int_Tables_number 8
_cell_length_a 8.880
_cell_length_b 2.767
_cell_length_c 6.461
_cell_angle_alpha 90.00
_cell_angle_beta 112.75
_cell_angle_gamma 90.00
loop_
_symmetry_equiv_pos_as_xyz
'x,y,z'
'x,-y,z'
'x+1/2,y+1/2,z'
'x+1/2,-y+1/2,z'
loop_
_atom_site_label
_atom_site_fract_x
_atom_site_fract_y
_atom_site_fract_z
V1 0.000 0.000 0.000
V2 0.230 0.500 0.407
Fe1 0.243 0.000 0.727
Fe2 0.492 0.500 0.354
Si1 0.005 0.500 0.660
Si2 0.292 0.000 0.104
# Energy = -7.980 eV/atom
# Formation energy (no corrections) = -0.312 eV per atom
# DOS(E_F) = 9.30 states/eV/cell
# Total moment = 0.00 μB/atom

***

Record 8
# AsHSe2I PBE optimized geometry
data_AsHSe2I
_chemical_formula_sum 'As1 H1 Se2 I1'
_symmetry_space_group_name_H-M 'P 4/m m m'
_symmetry_Int_Tables_number 123
_symmetry_space_group_name_Hall '-P 4 2'
_cell_length_a 5.491
_cell_length_b 5.491
_cell_length_c 5.643
_cell_angle_alpha 90.00
_cell_angle_beta 90.00
_cell_angle_gamma 90.00
loop_
_atom_site_label
_atom_site_fract_x
_atom_site_fract_y
_atom_site_fract_z
As1 0.000 0.000 0.000
H1 0.500 0.500 0.000
Se1 0.000 0.500 0.500
I1 0.000 0.000 0.500
# Energy = -1.933 eV/atom
# Distance to the lowest polymorph of the same formula = 0.5108 eV per atom
# DOS(E_F) = 3.56 states/eV/cell
# Total moment = 0.50 μB/atom